Entry 1:
Density functional theory data (PBE) for crystalline Y2ScC at its relaxed geometry.

Lattice parameters (Å, degrees): 9.2046 9.2046 4.4733 90.00 90.00 90.00
Closest atoms and distances in Å follow each position.
Space group I-42d (No. 122)
One atom of each set of equivalent atoms:
Y1 0.0985 0.7500 0.1250 x8  2 C 2.54
Sc1 0.0000 0.0000 0.5000 x4  2 C 2.24
C1 0.0000 0.0000 0.0000 x4  2 Sc 2.24


Entry 2:
Density functional theory data (PBE) for crystalline YScC at its relaxed geometry.

Summary:
Its energy relative to the lowest polymorph listed for this composition is 54 meV per atom.

Lattice parameters (Å, degrees): 3.4659 3.4659 5.9682 90.00 90.00 120.00
Closest atoms and distances in Å follow each position.
Space group P3m1 (No. 156)
One atom of each set of equivalent atoms:
Y1 0.0000 0.0000 0.0000 x1  3 C 2.46
Sc1 0.3333 0.6667 0.5684 x1  3 C 2.30
C1 0.6667 0.3333 0.7588 x1  3 Sc 2.30, 3 Y 2.46


Entry 3:
Density functional theory data (PBE) for crystalline Y12ScC7 at its relaxed geometry.

Lattice parameters (Å, degrees): 13.0674 13.0674 8.7819 90.00 90.00 120.00
Closest atoms and distances in Å follow each position.
Space group R-3 (No. 148, hexagonal axes)
One atom of each set of equivalent atoms:
Y1 0.0334 0.4454 0.1590 x18  3 C 2.40-2.56
Y2 0.0486 0.8828 0.8228 x18  3 C 2.45-2.48
Sc1 0.0000 0.0000 0.5000 x3  6 C 2.56
C1 0.0000 0.0000 0.0000 x3  6 Y 2.48
C2 0.0529 0.8718 0.3340 x18  5 Y 2.40-2.56, 1 Sc 2.56


Calculated density readings, ordered: 4.11 3.90 4.59 g/cm3
Energy of formation from the pure elements readings, ordered: 41.3 -311.7 -252.8 meV per atom
Magnetization readings, ordered: 0.00 0.17 0.00 μB/cell